[1]
Fe2TePt | GGA-PBE | optimized geometry

Structure (extended XYZ):
```
4
Lattice="6.606 0.001 0.003 -2.273 3.488 -0.004 2.060 1.343 2.748" Properties=species:S:1:pos:R:3 pbc="T T T"
Fe 0.000 0.000 0.000
Fe 4.333 0.672 1.375
Pt -0.106 2.415 1.372
Te 2.167 1.745 -0.001
```

Results
* Fermi-level density of states: 4.26 states/eV/f.u.
* SG: Cmmm (65)
* formation energy (no corrections): 207.9 meV per atom
* crystal system: orthorhombic
* total DFT energy (no corrections): -25.276 eV for the cell shown
* magnetic moment: 5.7 Bohr magnetons per cell


[2]
Re2HgCl | GGA-PBE | optimized geometry

Structure (extended XYZ):
```
4
Lattice="10.356 0.013 0.008 9.942 2.900 0.008 9.942 1.427 2.524" Properties=species:S:1:pos:R:3 pbc="T T T"
Cl 15.840 2.273 1.331
Hg 22.297 3.200 1.873
Re 29.814 4.279 2.504
Re 7.647 1.097 0.642
```

Results
* Fermi-level density of states: 1.77 states/eV/f.u.
* SG: R3m (160)
* formation energy (no corrections): 283.4 meV per atom
* crystal system: trigonal
* total DFT energy (no corrections): -25.911 eV for the cell shown
* magnetic moment: 0.0 Bohr magnetons per cell


[3]
RbCd2SnIr | GGA-PBE | optimized geometry

Structure (extended XYZ):
```
5
Lattice="5.398 0.000 0.000 0.000 5.398 0.000 0.000 0.000 5.070" Properties=species:S:1:pos:R:3 pbc="T T T"
Ir 0.000 0.000 0.000
Sn 0.000 0.000 2.535
Rb 2.699 2.699 2.535
Cd 0.000 2.699 0.000
Cd 2.699 0.000 0.000
```

Results
* Fermi-level density of states: 1.28 states/eV/f.u.
* SG: P4/mmm (123)
* crystal system: tetragonal
* ΔH_f (0 K): -67 kJ/mol of formula units
* total DFT energy (no corrections): -16.353 eV for the cell shown
* magnetic moment: 0.0 Bohr magnetons per cell


[4]
SrNi2P | GGA-PBE | optimized geometry

Structure (extended XYZ):
```
4
Lattice="0.036 -4.389 2.478 4.433 0.697 -2.295 3.300 -0.475 2.534" Properties=species:S:1:pos:R:3 pbc="T T T"
Sr 3.884 -2.083 1.358
Ni 2.216 0.348 -1.148
Ni 0.018 -2.194 1.239
P 1.650 -0.237 1.267
```

Results
* Fermi-level density of states: 4.97 states/eV/f.u.
* SG: C2/m (12)
* crystal system: monoclinic
* ΔH_f (0 K): 113 kJ/mol of formula units
* total DFT energy (no corrections): -17.478 eV for the cell shown
* magnetic moment: 0.4 Bohr magnetons per cell


[5]
YTm2Lu | GGA-PBE | optimized geometry

Structure (extended XYZ):
```
4
Lattice="-1.317 0.208 -3.237 -2.795 -1.845 1.018 -4.663 8.408 2.437" Properties=species:S:1:pos:R:3 pbc="T T T"
Y -4.387 3.385 0.109
Lu -2.056 -0.819 -1.109
Tm -3.515 6.338 1.837
Tm -1.148 2.070 0.600
```

Results
* Fermi-level density of states: 5.45 states/eV/f.u.
* SG: P4/mmm (123)
* crystal system: tetragonal
* ΔH_f (0 K): 12 kJ/mol of formula units
* total DFT energy (no corrections): -19.802 eV for the cell shown
* magnetic moment: 0.0 Bohr magnetons per cell


[6]
TbCuO | GGA-PBE | optimized geometry

Structure (extended XYZ):
```
6
Lattice="3.257 -0.634 0.121 0.627 3.258 0.121 0.315 0.213 8.262" Properties=species:S:1:pos:R:3 pbc="T T T"
O 3.112 2.103 3.394
O 1.086 0.734 5.110
Tb 3.012 2.035 5.726
Tb 1.187 0.802 2.777
Cu 2.604 0.332 0.121
Cu 1.280 2.292 0.121
```

Results
* Fermi-level density of states: 1.08 states/eV/f.u.
* SG: C2/m (12)
* formation energy (no corrections): -1857.4 meV per atom
* crystal system: monoclinic
* total DFT energy (no corrections): -38.513 eV for the cell shown
* magnetic moment: 0.0 Bohr magnetons per cell


[7]
MgNb3O6 | GGA-PBE | optimized geometry

Structure (extended XYZ):
```
20
Lattice="4.980 0.000 0.000 0.000 6.875 -1.992 0.000 -0.220 7.154" Properties=species:S:1:pos:R:3 pbc="T T T"
Mg 0.040 1.357 5.121
Mg 2.530 5.298 0.041
Nb 2.591 5.972 3.640
Nb 0.101 5.010 4.880
Nb 1.830 2.827 3.226
Nb 4.320 3.827 1.937
Nb 0.101 0.682 1.523
Nb 2.591 1.644 0.282
O 0.969 4.822 2.865
O 3.459 3.974 3.959
O 0.917 3.133 5.048
O 3.407 5.668 1.780
O 0.892 0.209 6.601
O 3.151 1.073 5.487
O 0.661 5.581 -0.324
O 3.382 6.446 -1.439
O 0.917 0.986 3.382
O 3.407 3.521 0.114
O 0.969 2.680 1.204
O 3.459 1.832 2.297
```

Results
* Fermi-level density of states: 4.57 states/eV/f.u.
* SG: Cmc2_1 (36)
* formation energy (no corrections): -2183.5 meV per atom
* crystal system: orthorhombic
* total DFT energy (no corrections): -166.776 eV for the cell shown
* magnetic moment: 0.0 Bohr magnetons per cell


[8]
MoPd4 | GGA-PBE | optimized geometry

Structure (extended XYZ):
```
20
Lattice="4.719 0.000 0.000 0.000 9.542 0.000 0.000 0.000 9.542" Properties=species:S:1:pos:R:3 pbc="T T T"
Mo 0.000 2.379 7.150
Mo 0.000 7.150 7.164
Mo 0.000 2.393 2.379
Mo 0.000 7.164 2.393
Pd 2.360 8.279 6.035
Pd 2.360 6.035 1.264
Pd 2.360 3.507 8.279
Pd 2.360 1.264 3.507
Pd 2.360 2.095 0.903
Pd 2.360 0.903 7.447
Pd 2.360 8.639 2.095
Pd 2.360 7.447 8.639
Pd 2.360 2.676 5.675
Pd 2.360 6.866 3.868
Pd 2.360 5.675 6.866
Pd 2.360 3.868 2.676
Pd 1.135 0.000 0.000
Pd 3.584 4.771 4.771
Pd 3.584 0.000 0.000
Pd 1.135 4.771 4.771
```

Results
* Fermi-level density of states: 5.59 states/eV/f.u.
* SG: P4/mbm (127)
* crystal system: tetragonal
* ΔH_f (0 K): 458 kJ/mol of formula units
* total DFT energy (no corrections): -107.443 eV for the cell shown
* magnetic moment: 11.1 Bohr magnetons per cell